The following is a PBE calculation of a relaxed BaTiTeS6 crystal, from Alexandria via LeMat-Bulk.

Geometry as extended XYZ:
```
9
Lattice="6.461 0.000 0.000 -3.230 5.595 0.000 0.000 0.000 6.882" Properties=species:S:1:pos:R:3 pbc="T T T"
Ba 0.000 0.000 0.000
Ti 0.000 3.730 3.441
Te 3.230 1.865 3.441
S -1.204 2.222 4.894
S -1.908 3.442 1.988
S 1.204 2.222 1.988
S -0.704 5.527 4.894
S 1.908 3.442 4.894
S 0.704 5.527 1.988
```

* raw formation energy: -0.748 eV per atom